! PBE-GGA Tl2CO3, optimized geometry; values from VASP
&SYSTEM
  ibrav = 0, nat = 12, ntyp = 3
/
ATOMIC_SPECIES
Tl 204.38 Tl.upf
C 12.01 C.upf
O 16.00 O.upf
CELL_PARAMETERS angstrom
5.871 0.000 0.000
-2.936 5.085 0.000
0.000 0.000 7.872
ATOMIC_POSITIONS angstrom
Tl 0.000 0.000 0.000
Tl 0.000 0.000 3.936
Tl 0.000 3.390 1.933
Tl 2.936 1.695 5.939
C 0.000 3.390 5.905
C 2.936 1.695 1.967
O 0.000 2.084 5.905
O -1.131 4.043 5.905
O 1.805 1.042 1.967
O 1.131 4.043 5.905
O 4.066 1.042 1.967
O 2.936 3.000 1.967
! Total magnetization   0.000 Bohr magnetons per cell
! Uncorrected formation energy   -1.098 eV per atom
! Space-group type   No. 164